The following is a PBE-GGA calculation of crystalline Ta2HIrRu at its relaxed geometry, from the Alexandria database.

a = 4.1646 Å, b = 4.1646 Å, c = 3.8293 Å
α = 90.00°, β = 90.00°, γ = 90.00°
Last column: nearest neighbours and their distance in Å.
Fractional positions:
Ta: 0.0000 0.5000 0.0000  2 H 2.08
Ta: 0.5000 0.0000 0.0000  2 H 2.08
H: 0.0000 0.0000 0.0000  2 Ir 1.91, 4 Ta 2.08
Ir: 0.0000 0.0000 0.5000  2 H 1.91
Ru: 0.5000 0.5000 0.5000  8 Ta 2.83, 4 Ir 2.94

Output
Size of the total moment ... 0.00 μB/cell
Calculated total energy ... -9.3242 eV/atom
DOS at the Fermi energy ... 0.958 states/eV per atom